YMg3As | GGA-PBEsol | relaxed

Properties
- N(E_F) (states/eV per cell) = 4.545
- formation energy from the elements (meV/atom) = 1315
- total energy (eV per atom) = -2.101

Unit cell a=5.6677 b=5.6677 c=5.6677 alpha=90.00 beta=90.00 gamma=90.00
Space group Pm-3m (No. 221)
One atom of each set of equivalent atoms:
Y: 0.0000 0.0000 0.0000 x1
Mg: 0.0000 0.0000 0.5000 x3
As: 0.5000 0.5000 0.5000 x1

YMgAs2 | GGA-PBEsol | relaxed

Properties
- N(E_F) (states/eV per cell) = 8.123
- formation energy from the elements (meV/atom) = -865
- total energy (eV per atom) = -5.553

Unit cell a=4.0790 b=4.0790 c=18.6354 alpha=90.00 beta=90.00 gamma=120.00
Space group R-3m (No. 166, hexagonal axes)
One atom of each set of equivalent atoms:
Y: 0.0000 0.0000 0.0000 x3
Mg: 0.0000 0.0000 0.5000 x3
As: 0.0000 0.0000 0.2469 x6

Y2MgAs | GGA-PBEsol | relaxed

Properties
- N(E_F) (states/eV per cell) = 5.749
- formation energy from the elements (meV/atom) = -717
- total energy (eV per atom) = -5.834
- ΔE to the lowest computed polymorph (meV/atom) = 0

Unit cell a=4.0956 b=4.1946 c=11.1922 alpha=90.00 beta=90.00 gamma=90.00
Space group Amm2 (No. 38)
One atom of each set of equivalent atoms:
Y: 0.0000 0.0000 0.0000 x2
Y: 0.5000 0.0000 0.2923 x2
Mg: 0.5000 0.0000 0.5741 x2
As: 0.0000 0.0000 0.7322 x2

YMg2As2 | GGA-PBEsol | relaxed

Properties
- N(E_F) (states/eV per cell) = 3.488
- formation energy from the elements (meV/atom) = -683
- total energy (eV per atom) = -4.776

Unit cell a=3.9983 b=3.9983 c=12.9390 alpha=90.00 beta=90.00 gamma=90.00
Space group I4/mmm (No. 139)
One atom of each set of equivalent atoms:
Y: 0.0000 0.0000 0.0000 x2
Mg: 0.0000 0.5000 0.2500 x4
As: 0.0000 0.0000 0.3886 x4

YMgAs2 | GGA-PBEsol | relaxed

Properties
- N(E_F) (states/eV per cell) = 2.812
- formation energy from the elements (meV/atom) = -852
- total energy (eV per atom) = -5.540

Unit cell a=4.0012 b=5.6905 c=4.0072 alpha=90.00 beta=90.00 gamma=90.00
Space group Pmm2 (No. 25)
One atom of each set of equivalent atoms:
Y: 0.0000 0.0000 0.0000 x1
Mg: 0.5000 0.5000 0.5014 x1
As: 0.0000 0.5000 0.0016 x1
As: 0.5000 0.0000 0.5000 x1

YMgAs2 | GGA-PBEsol | relaxed

Properties
- N(E_F) (states/eV per cell) = 1.790
- formation energy from the elements (meV/atom) = -704
- total energy (eV per atom) = -5.392

Unit cell a=3.7520 b=3.1804 c=7.3012 alpha=90.00 beta=100.70 gamma=90.00
Space group P2/m (No. 10)
One atom of each set of equivalent atoms:
Y: 0.0000 0.0000 0.0000 x1
Mg: 0.0000 0.0000 0.5000 x1
As: 0.4187 0.5000 0.7545 x2

YMg2As | GGA-PBEsol | relaxed

Properties
- N(E_F) (states/eV per cell) = 2.932
- formation energy from the elements (meV/atom) = -236
- total energy (eV per atom) = -4.077

Unit cell a=3.4511 b=3.4511 c=7.5878 alpha=90.00 beta=90.00 gamma=90.00
Space group P4/mmm (No. 123)
One atom of each set of equivalent atoms:
Y: 0.0000 0.0000 0.0000 x1
Mg: 0.5000 0.5000 0.3016 x2
As: 0.0000 0.0000 0.5000 x1

Y2MgAs | GGA-PBEsol | relaxed

Properties
- N(E_F) (states/eV per cell) = 7.052
- formation energy from the elements (meV/atom) = -573
- total energy (eV per atom) = -5.690
- ΔE to the lowest computed polymorph (meV/atom) = 144

Unit cell a=3.7595 b=4.7381 c=10.6813 alpha=90.00 beta=90.00 gamma=90.00
Space group Imm2 (No. 44)
One atom of each set of equivalent atoms:
Y: 0.0000 0.0000 0.0000 x2
Y: 0.0000 0.5000 0.2218 x2
Mg: 0.0000 0.0000 0.4321 x2
As: 0.0000 0.5000 0.7318 x2

YMgAs2 | GGA-PBEsol | relaxed

Properties
- N(E_F) (states/eV per cell) = 2.797
- formation energy from the elements (meV/atom) = -842
- total energy (eV per atom) = -5.530

Unit cell a=10.6334 b=3.8823 c=4.1762 alpha=90.00 beta=100.73 gamma=90.00
Space group Cm (No. 8)
One atom of each set of equivalent atoms:
Y: 0.0000 0.0000 0.0000 x2
Mg: 0.2530 0.5000 0.4166 x2
As: 0.0075 0.5000 0.4987 x2
As: 0.2751 0.0000 0.9502 x2

YMg2As | GGA-PBEsol | relaxed

Properties
- N(E_F) (states/eV per cell) = 17.816
- formation energy from the elements (meV/atom) = -233
- total energy (eV per atom) = -4.073

Unit cell a=7.0926 b=7.0926 c=7.0926 alpha=90.00 beta=90.00 gamma=90.00
Space group F-43m (No. 216)
One atom of each set of equivalent atoms:
Y: 0.0000 0.0000 0.0000 x4
Mg: 0.0000 0.0000 0.5000 x4
Mg: 0.2500 0.2500 0.7500 x4
As: 0.2500 0.2500 0.2500 x4

YMg2As | GGA-PBEsol | relaxed

Properties
- N(E_F) (states/eV per cell) = 2.107
- formation energy from the elements (meV/atom) = -456
- total energy (eV per atom) = -4.297

Unit cell a=3.7720 b=3.7720 c=6.2910 alpha=90.00 beta=90.00 gamma=90.00
Space group P4mm (No. 99)
One atom of each set of equivalent atoms:
Y: 0.0000 0.0000 0.0000 x1
Mg: 0.0000 0.0000 0.4774 x1
Mg: 0.5000 0.5000 0.6967 x1
As: 0.5000 0.5000 0.1983 x1

YMgAs2 | GGA-PBEsol | relaxed

Properties
- N(E_F) (states/eV per cell) = 2.409
- formation energy from the elements (meV/atom) = -710
- total energy (eV per atom) = -5.398

Unit cell a=3.6253 b=3.6253 c=6.2430 alpha=90.00 beta=90.00 gamma=90.00
Space group P4/mmm (No. 123)
One atom of each set of equivalent atoms:
Y: 0.0000 0.0000 0.0000 x1
Mg: 0.0000 0.0000 0.5000 x1
As: 0.5000 0.5000 0.2518 x2

YMgAs2 | GGA-PBEsol | relaxed

Properties
- N(E_F) (states/eV per cell) = 3.914
- formation energy from the elements (meV/atom) = -789
- total energy (eV per atom) = -5.477

Unit cell a=3.9852 b=3.9852 c=10.2831 alpha=90.00 beta=90.00 gamma=90.00
Space group I-4m2 (No. 119)
One atom of each set of equivalent atoms:
Y: 0.0000 0.0000 0.0000 x2
Mg: 0.0000 0.5000 0.7500 x2
As: 0.0000 0.0000 0.5000 x2
As: 0.0000 0.5000 0.2500 x2

Y2MgAs | GGA-PBEsol | relaxed

Properties
- N(E_F) (states/eV per cell) = 2.811
- formation energy from the elements (meV/atom) = -675
- total energy (eV per atom) = -5.792
- ΔE to the lowest computed polymorph (meV/atom) = 42

Unit cell a=3.7410 b=3.7410 c=6.6392 alpha=90.00 beta=90.00 gamma=90.00
Space group P4/mmm (No. 123)
One atom of each set of equivalent atoms:
Y: 0.0000 0.0000 0.2316 x2
Mg: 0.5000 0.5000 0.5000 x1
As: 0.5000 0.5000 0.0000 x1

MgZn2As | GGA-PBEsol | relaxed

Properties
- N(E_F) (states/eV per cell) = 2.186
- formation energy from the elements (meV/atom) = 17
- total energy (eV per atom) = -2.480

Unit cell a=4.1483 b=4.2236 c=7.7275 alpha=90.00 beta=90.00 gamma=90.00
Space group Cmm2 (No. 35)
One atom of each set of equivalent atoms:
Mg: 0.0000 0.0000 0.0000 x2
Zn: 0.0000 0.0000 0.4705 x2
Zn: 0.0000 0.5000 0.2563 x2
As: 0.0000 0.5000 0.7365 x2

Mg2ZnAs | GGA-PBEsol | relaxed

Properties
- N(E_F) (states/eV per cell) = 3.154
- formation energy from the elements (meV/atom) = -3
- total energy (eV per atom) = -2.534
- ΔE to the lowest computed polymorph (meV/atom) = 208

Unit cell a=4.3722 b=4.4180 c=7.9520 alpha=90.00 beta=90.00 gamma=90.00
Space group Cmm2 (No. 35)
One atom of each set of equivalent atoms:
Mg: 0.0000 0.0000 0.0000 x2
Mg: 0.0000 0.5000 0.3022 x2
Zn: 0.0000 0.0000 0.5411 x2
As: 0.0000 0.5000 0.7613 x2

Mg2ZnAs | GGA-PBEsol | relaxed

Properties
- N(E_F) (states/eV per cell) = 1.350
- formation energy from the elements (meV/atom) = -211
- total energy (eV per atom) = -2.742
- ΔE to the lowest computed polymorph (meV/atom) = 0

Unit cell a=4.3651 b=4.3651 c=3.8093 alpha=90.00 beta=90.00 gamma=90.00
Space group P4/mmm (No. 123)
One atom of each set of equivalent atoms:
Mg: 0.0000 0.5000 0.0000 x2
Zn: 0.0000 0.0000 0.5000 x1
As: 0.5000 0.5000 0.5000 x1

MgZn2As | GGA-PBEsol | relaxed

Properties
- N(E_F) (states/eV per cell) = 2.085
- formation energy from the elements (meV/atom) = -1
- total energy (eV per atom) = -2.498

Unit cell a=5.2712 b=8.3224 c=3.1387 alpha=90.00 beta=90.00 gamma=90.00
Space group Cmmm (No. 65)
One atom of each set of equivalent atoms:
Mg: 0.0000 0.0000 0.0000 x2
Zn: 0.2500 0.2500 0.5000 x4
As: 0.0000 0.5000 0.0000 x2

Mg2ZnAs | GGA-PBEsol | relaxed

Properties
- N(E_F) (states/eV per cell) = 2.404
- formation energy from the elements (meV/atom) = -163
- total energy (eV per atom) = -2.694
- ΔE to the lowest computed polymorph (meV/atom) = 48

Unit cell a=3.9137 b=3.9835 c=9.4085 alpha=90.00 beta=90.00 gamma=90.00
Space group Imm2 (No. 44)
One atom of each set of equivalent atoms:
Mg: 0.0000 0.0000 0.0000 x2
Mg: 0.0000 0.5000 0.2461 x2
Zn: 0.0000 0.5000 0.7551 x2
As: 0.0000 0.0000 0.4927 x2

MgZn2As | GGA-PBEsol | relaxed

Properties
- N(E_F) (states/eV per cell) = 2.442
- formation energy from the elements (meV/atom) = -32
- total energy (eV per atom) = -2.529

Unit cell a=5.6207 b=5.6358 c=5.0064 alpha=90.00 beta=121.46 gamma=90.00
Space group C2 (No. 5)
One atom of each set of equivalent atoms:
Mg: 0.0000 0.0000 0.0000 x2
Zn: 0.0000 0.2569 0.5000 x2
Zn: 0.0000 0.4945 0.0000 x2
As: 0.0000 0.7517 0.5000 x2